# 1
# Ce2DyGa3

Crystalline Ce2DyGa3 at its relaxed geometry (GGA-PBE, Alexandria).

Values from the calculation:
As for the total energy: -4.756 eV per atom. For the formation enthalpy at 0 K, the calculation gives -11.5 kcal/mol of atoms. Its size of the total moment is 0.240 μB/atom.

a b c (Å): 5.114 5.114 12.572
angles (deg): 90.00 90.00 120.00
Each line ends with the local moment (μB).
Fractional coordinates of all 12 atoms:
Ga1 0.000 0.000 0.253  0.01
Ga2 0.000 0.000 0.747  0.01
Ga3 0.333 0.667 0.914  0.02
Ga4 0.667 0.333 0.583  0.01
Ga5 0.333 0.667 0.417  0.01
Ga6 0.667 0.333 0.086  0.02
Ce1 0.333 0.667 0.169  0.60
Ce2 0.000 0.000 0.500  0.60
Ce3 0.667 0.333 0.831  0.60
Ce4 0.000 0.000 0.000  0.64
Dy1 0.667 0.333 0.333  0.00
Dy2 0.333 0.667 0.667  0.00

=====

# 2
# CeDy2Ga

Crystalline CeDy2Ga at its relaxed geometry (GGA-PBE, Alexandria).

Values from the calculation:
As for the total energy: -4.755 eV per atom. For the formation enthalpy at 0 K, the calculation gives -4.9 kcal/mol of atoms. Its size of the total moment is 0.000 μB/atom. The value obtained for the energy above the lowest structure with this stoichiometry is 31 meV/atom.

a b c (Å): 4.531 4.765 4.765
angles (deg): 90.00 90.00 90.00
Fractional coordinates of all 4 atoms:
Ce1 0.500 0.500 0.500
Ga1 0.500 0.000 0.000
Dy1 0.000 0.500 0.000
Dy2 0.000 0.000 0.500

=====

# 3
# Ce4DyGa4

Crystalline Ce4DyGa4 at its relaxed geometry (GGA-PBE, Alexandria).

Values from the calculation:
As for the total energy: -4.760 eV per atom. For the formation enthalpy at 0 K, the calculation gives -6.1 kcal/mol of atoms. Its size of the total moment is 0.269 μB/atom.

a b c (Å): 5.899 8.564 8.564
angles (deg): 90.00 90.00 90.00
Each line ends with the local moment (μB).
Fractional coordinates of all 18 atoms:
Ga1 0.606 0.109 0.809  0.00
Ga2 0.894 0.609 0.309  0.00
Ga3 0.606 0.891 0.191  0.00
Ga4 0.394 0.809 0.891  0.00
Ga5 0.394 0.191 0.109  0.00
Ga6 0.106 0.309 0.391  0.00
Ga7 0.894 0.391 0.691  0.00
Ga8 0.106 0.691 0.609  0.00
Dy1 0.000 0.000 0.000  0.14
Dy2 0.500 0.500 0.500  0.14
Ce1 0.369 0.567 0.151  0.48
Ce2 0.369 0.433 0.849  0.48
Ce3 0.631 0.849 0.567  0.48
Ce4 0.631 0.151 0.433  0.48
Ce5 0.131 0.067 0.651  0.48
Ce6 0.869 0.651 0.933  0.48
Ce7 0.131 0.933 0.349  0.48
Ce8 0.869 0.349 0.067  0.48